Below is crystalline BaTaBr2 at its relaxed geometry, with properties calculated at the PBE-GGA level.

abc: 5.5852 5.5852 17.5073
angles: 90.00 90.00 90.00
Space group I-42d (No. 122)
Symmetry-distinct sites (fractional):
Ba 0.0000 0.0000 0.0000 x4
Ta 0.0000 0.0000 0.5000 x4
Br 0.1607 0.2500 0.6250 x8

Summary:
**Calculated volume**: 546 Å³/cell
**Calculated total energy**: -68.54 eV for the cell shown
**E_form (uncorrected)**: 0.00 eV/atom
**Theoretical density**: 5.81 g cm⁻³
**Polymorph energy (0 for the lowest one)**: 223 meV per atom

Below is crystalline DyYHoCu at its relaxed geometry, with properties calculated at the PBE-GGA level.

abc: 3.4884 3.4884 8.6851
angles: 90.00 90.00 90.00
Space group P4mm (No. 99)
Symmetry-distinct sites (fractional):
Dy 0.0000 0.0000 0.0000 x1
Y 0.5000 0.5000 0.3041 x1
Ho 0.0000 0.0000 0.6069 x1
Cu 0.5000 0.5000 0.8008 x1

Summary:
**Calculated volume**: 106 Å³/cell
**Calculated total energy**: -20.14 eV for the cell shown
**Energy of formation from the pure elements**: -38 kJ/mol of formula units
**Theoretical density**: 7.54 g cm⁻³

Below is crystalline UAlAu2 at its relaxed geometry, with properties calculated at the PBE-GGA level.

abc: 8.6155 6.8795 5.5325
angles: 90.00 90.00 90.00
Space group Pnma (No. 62)
Symmetry-distinct sites (fractional):
U 0.0619 0.2500 0.1543 x4
Al 0.1043 0.7500 0.3413 x4
Au 0.1736 0.0416 0.6384 x8

Summary:
**Calculated volume**: 328 Å³/cell
**Calculated total energy**: -90.18 eV for the cell shown
**Energy of formation from the pure elements**: -93 kJ/mol of formula units
**Theoretical density**: 13.35 g cm⁻³

Below is crystalline CaIr2Os at its relaxed geometry, with properties calculated at the PBE-GGA level.

abc: 3.9818 3.9818 8.2362
angles: 90.00 90.00 90.00
Space group I-4m2 (No. 119)
Symmetry-distinct sites (fractional):
Ca 0.0000 0.0000 0.0000 x2
Ir 0.0000 0.0000 0.5000 x2
Ir 0.0000 0.5000 0.7500 x2
Os 0.0000 0.5000 0.2500 x2

Summary:
**Calculated volume**: 131 Å³/cell
**Calculated total energy**: -58.94 eV for the cell shown
**Energy of formation from the pure elements**: 143 kJ/mol of formula units
**Theoretical density**: 15.63 g cm⁻³
**Polymorph energy (0 for the lowest one)**: 347 meV per atom

Below is crystalline Al2TcHPd at its relaxed geometry, with properties calculated at the PBE-GGA level.

abc: 4.2404 4.2404 3.3476
angles: 90.00 90.00 90.00
Space group P4/mmm (No. 123)
Symmetry-distinct sites (fractional):
Al 0.0000 0.5000 0.0000 x2
Tc 0.0000 0.0000 0.5000 x1
H 0.0000 0.0000 0.0000 x1
Pd 0.5000 0.5000 0.5000 x1

Summary:
**Calculated volume**: 60 Å³/cell
**Calculated total energy**: -28.31 eV for the cell shown
**Theoretical density**: 7.16 g cm⁻³
**Polymorph energy (0 for the lowest one)**: 0 meV per atom

Below is crystalline KZrMo2 at its relaxed geometry, with properties calculated at the PBE-GGA level.

abc: 6.8996 6.8996 6.8996
angles: 90.00 90.00 90.00
Space group Fm-3m (No. 225)
Symmetry-distinct sites (fractional):
K 0.0000 0.0000 0.0000 x4
Zr 0.0000 0.0000 0.5000 x4
Mo 0.2500 0.2500 0.2500 x8

Summary:
**Calculated volume**: 328 Å³/cell
**Calculated total energy**: -100.40 eV for the cell shown
**Energy of formation from the pure elements**: 599 kJ/mol of formula units
**Theoretical density**: 6.52 g cm⁻³
**Polymorph energy (0 for the lowest one)**: 998 meV per atom

theoretical density of number 4 (CaIr2Os)? 15.63 g cm⁻³

Among the records above, which one has the lowest calculated volume? Al2TcHPd

What is the calculated total energy in the third record? -90.18 eV for the cell shown

Look up the theoretical density of the first one. 5.81 g cm⁻³